Entry from Alexandria via LeMat-Bulk: a relaxed RbPb3S crystal (PBE-GGA).

Output
* formation energy (no corrections): -4 meV per atom
* calculated total energy: -16.24 eV/cell

abc: 5.715 5.715 5.715
angles: 90.00 90.00 90.00
Space group Pm-3m (No. 221)
Inequivalent atoms, fractional coordinates:
Rb (0.000, 0.000, 0.000) (multiplicity 1)
Pb (0.000, 0.500, 0.500) (multiplicity 3)
S (0.500, 0.500, 0.500) (multiplicity 1)



Entry from Alexandria via LeMat-Bulk: a relaxed Ac2Dy2Pb crystal (PBE-GGA).

Output
* energy relative to the elements: 0.15 eV per atom
* calculated total energy: -40.71 eV/cell

abc: 4.469 4.469 19.480
angles: 90.00 90.00 90.00
Space group I4/mmm (No. 139)
Inequivalent atoms, fractional coordinates:
Ac (0.000, 0.000, 0.090) (multiplicity 4)
Dy (0.000, 0.500, 0.250) (multiplicity 4)
Pb (0.000, 0.000, 0.500) (multiplicity 2)



Entry from Alexandria via LeMat-Bulk: a relaxed SrSnPd2Rh crystal (PBE-GGA).

Output
* energy relative to the elements: -0.08 eV per atom
* calculated total energy: -23.84 eV/cell

abc: 5.017 5.017 4.965
angles: 90.00 90.00 90.00
Space group P4/mmm (No. 123)
Inequivalent atoms, fractional coordinates:
Sr (0.000, 0.000, 0.000) (multiplicity 1)
Sn (0.500, 0.500, 0.500) (multiplicity 1)
Pd (0.000, 0.500, 0.500) (multiplicity 2)
Rh (0.500, 0.500, 0.000) (multiplicity 1)



Entry from Alexandria via LeMat-Bulk: a relaxed Ba2ScI2O2 crystal (PBE-GGA).

Output
* formation energy (no corrections): -2240 meV per atom
* calculated total energy: -77.74 eV/cell

abc: 4.299 4.299 22.304
angles: 90.00 90.00 90.00
Space group I4/mmm (No. 139)
Inequivalent atoms, fractional coordinates:
Ba (0.000, 0.000, 0.088) (multiplicity 4)
Sc (0.000, 0.000, 0.500) (multiplicity 2)
I (0.000, 0.000, 0.328) (multiplicity 4)
O (0.000, 0.500, 0.000) (multiplicity 4)



Entry from Alexandria via LeMat-Bulk: a relaxed Mg5Sc crystal (PBE-GGA).

Output
* energy relative to the elements: 0.02 eV per atom
* calculated total energy: -42.62 eV/cell

abc: 5.5027 5.5027 16.0155
angles: 90.00 90.00 120.00
Space group R32 (No. 155, hexagonal axes)
Inequivalent atoms, fractional coordinates:
Mg (0.0000, 0.0000, 0.1631) (multiplicity 6)
Mg (0.0000, 0.6606, 0.0000) (multiplicity 9)
Sc (0.0000, 0.0000, 0.5000) (multiplicity 3)